VASP calculation (PBE-GGA) on ScPaTiRu after structural relaxation.

abc: 4.7578 4.7578 4.7578
angles: 60.00 60.00 60.00
Last column: nearest neighbours and their distance in Å.
Fractional coordinates of all 4 atoms:
Sc (0.7500, 0.7500, 0.7500)  4 Ru 2.91, 4 Ti 2.91
Ru (0.5000, 0.5000, 0.5000)  4 Sc 2.91, 4 Pa 2.91
Pa (0.2500, 0.2500, 0.2500)  4 Ru 2.91, 4 Ti 2.91
Ti (0.0000, 0.0000, 0.0000)  4 Pa 2.91, 4 Sc 2.91

Summary:
Uncorrected energy, eV/cell: -33.83
Magnetic moment, μB/cell: 0.00

***

VASP calculation (PBE-GGA) on TmScPa2Ru4 after structural relaxation.

abc: 4.5607 4.5607 9.0220
angles: 75.36 75.36 60.00
Last column: nearest neighbours and their distance in Å.
Fractional coordinates of all 8 atoms:
Tm (0.0000, 0.0000, 0.0000)  8 Ru 3.04-3.15
Sc (0.5000, 0.5000, 0.5000)  8 Ru 2.79-2.88
Pa (0.7520, 0.7520, 0.7440)  6 Ru 2.72-2.80
Pa (0.2480, 0.2480, 0.2560)  6 Ru 2.72-2.80
Ru (0.3922, 0.3922, 0.8234)  3 Pa 2.72, 1 Sc 2.79, 3 Tm 3.04
Ru (0.8782, 0.8782, 0.3653)  3 Pa 2.80, 3 Sc 2.88, 3 Ru 3.10
Ru (0.1218, 0.1218, 0.6347)  3 Pa 2.80, 3 Sc 2.88, 3 Ru 3.10
Ru (0.6078, 0.6078, 0.1766)  3 Pa 2.72, 1 Sc 2.79, 3 Tm 3.04

Summary:
Uncorrected energy, eV/cell: -71.20
Magnetic moment, μB/cell: 0.00

***

VASP calculation (PBE-GGA) on TmSc2PaRu4 after structural relaxation.

abc: 4.7247 4.7247 7.9661
angles: 72.75 72.75 60.00
Last column: nearest neighbours and their distance in Å.
Fractional coordinates of all 8 atoms:
Tm (0.0000, 0.0000, 0.0000)  8 Ru 2.87-2.93
Sc (0.7463, 0.7463, 0.7611)  8 Ru 2.82-2.94
Sc (0.2537, 0.2537, 0.2389)  8 Ru 2.82-2.94
Pa (0.5000, 0.5000, 0.5000)  8 Ru 2.66-2.86
Ru (0.3813, 0.3813, 0.8561)  1 Pa 2.66, 4 Sc 2.82-2.87, 3 Tm 2.93
Ru (0.8721, 0.8721, 0.3836)  4 Sc 2.83-2.94, 3 Pa 2.86, 1 Tm 2.87
Ru (0.1279, 0.1279, 0.6164)  4 Sc 2.83-2.94, 3 Pa 2.86, 1 Tm 2.87
Ru (0.6187, 0.6187, 0.1439)  1 Pa 2.66, 4 Sc 2.82-2.87, 3 Tm 2.93

Summary:
Uncorrected energy, eV/cell: -68.87
Magnetic moment, μB/cell: 0.00

***

VASP calculation (PBE-GGA) on ScPaVRu after structural relaxation.

abc: 4.7198 4.7198 4.7198
angles: 60.00 60.00 60.00
Last column: nearest neighbours and their distance in Å.
Fractional coordinates of all 4 atoms:
Sc (0.2500, 0.2500, 0.2500)  4 Ru 2.89, 4 V 2.89
Ru (0.5000, 0.5000, 0.5000)  4 Pa 2.89, 4 Sc 2.89
Pa (0.7500, 0.7500, 0.7500)  4 V 2.89, 4 Ru 2.89
V (0.0000, 0.0000, 0.0000)  4 Sc 2.89, 4 Pa 2.89

Summary:
Uncorrected energy, eV/cell: -34.89
Magnetic moment, μB/cell: 1.41